A plane-wave DFT calculation with PBE-GGA was carried out for an optimized crystal structure of TbNd2Ga3.

## Properties
Energy above the most stable polymorph in this dataset   84 meV per atom

Structure (POSCAR):
```
TbNd2Ga3
1.0
-3.7901 -0.2105 2.7955
-3.4455 -2.0597 -4.8264
4.3262 -9.9171 1.1438
Tb Nd Ga
2 4 6
direct
0.3244 0.7500 0.6489 Tb
0.6756 0.2500 0.3511 Tb
0.1460 0.7500 0.2921 Nd
0.8540 0.2500 0.7079 Nd
0.9653 0.7500 0.9307 Nd
0.0347 0.2500 0.0693 Nd
0.4377 0.4533 0.8755 Ga
0.5623 0.5467 0.1245 Ga
0.4377 0.0467 0.8755 Ga
0.5623 0.9533 0.1245 Ga
0.7424 0.7500 0.4849 Ga
0.2576 0.2500 0.5151 Ga
```

A plane-wave DFT calculation with PBE-GGA was carried out for an optimized crystal structure of Mn4Pd3Pt.

Structure (POSCAR):
```
Mn4Pd3Pt
1.0
-0.0982 -2.7849 -1.5401
-0.4559 -1.5126 2.7642
-11.8891 1.1544 -1.3292
Mn Pt Pd
4 1 3
direct
0.0000 0.0000 0.8758 Mn
0.0000 0.0000 0.1242 Mn
0.0000 0.0000 0.3750 Mn
0.0000 0.0000 0.6250 Mn
0.5000 0.5000 0.0000 Pt
0.5000 0.5000 0.2500 Pd
0.5000 0.5000 0.5000 Pd
0.5000 0.5000 0.7500 Pd
```

Result set for calculated formation energy: -0.48, -0.23 eV per atom, one per record in the order listed.
Result set for total DFT energy (no corrections): -52.23, -60.10 eV/cell, one per record in the order listed.